Entry 1:
Below is a relaxed PrCu4Ag8 crystal, with properties calculated at the PBE level.

Unit cell a=5.2156 b=7.0993 c=7.0993 alpha=82.25 beta=68.45 gamma=68.45
Last column: nearest neighbours and their distance in Å.
Sites, in units of the cell vectors:
Pr 0.0000 0.0000 0.0000  12 Ag 3.25-3.32, 8 Cu 3.55
Cu 0.0000 0.0000 0.5000  2 Cu 2.61, 8 Ag 2.69-2.83
Cu 0.5000 0.0000 0.5000  2 Cu 2.61, 8 Ag 2.69-2.83
Cu 0.0000 0.5000 0.0000  2 Cu 2.61, 8 Ag 2.69-2.83
Cu 0.5000 0.5000 0.0000  2 Cu 2.61, 8 Ag 2.69-2.83
Ag 0.0000 0.3483 0.6517  4 Cu 2.83, 5 Ag 2.83-2.98
Ag 0.0000 0.6517 0.3483  4 Cu 2.83, 5 Ag 2.83-2.98
Ag 0.3483 0.6517 0.6517  4 Cu 2.83, 5 Ag 2.83-2.98
Ag 0.6517 0.3483 0.3483  4 Cu 2.83, 5 Ag 2.83-2.98
Ag 0.5000 0.7806 0.2194  4 Cu 2.69, 6 Ag 2.87-2.98
Ag 0.5000 0.2194 0.7806  4 Cu 2.69, 6 Ag 2.87-2.98
Ag 0.2806 0.2194 0.2194  4 Cu 2.69, 6 Ag 2.87-2.98
Ag 0.7194 0.7806 0.7806  4 Cu 2.69, 6 Ag 2.87-2.98

Summary:
As for the density: 9.19 g cm⁻³. Its space group is No. 139. Its total energy is -44.49 eV/cell. As for the density of states at the Fermi level: 5.8 states/eV/cell. The formation energy is -0.039 eV/atom.

---

Entry 2:
Below is a relaxed Pr3Cu2Ag crystal, with properties calculated at the PBE level.

Unit cell a=5.2196 b=5.2196 c=12.6969 alpha=90.00 beta=90.00 gamma=120.00
Last column: nearest neighbours and their distance in Å.
Sites, in units of the cell vectors:
Pr 0.3333 0.6667 0.4162  4 Cu 3.15-3.20, 4 Ag 3.21-3.23
Pr 0.6667 0.3333 0.0750  7 Cu 3.09-3.24, 1 Ag 3.23
Pr 0.0000 0.0000 0.7586  5 Cu 3.07-3.28, 3 Ag 3.21
Pr 0.0000 0.0000 0.2414  5 Cu 3.07-3.28, 3 Ag 3.21
Pr 0.3333 0.6667 0.9250  7 Cu 3.09-3.24, 1 Ag 3.23
Pr 0.6667 0.3333 0.5838  4 Cu 3.15-3.20, 4 Ag 3.21-3.23
Cu 0.0000 0.0000 0.5000  8 Pr 3.20-3.28
Cu 0.3333 0.6667 0.1684  8 Pr 3.09-3.24
Cu 0.6667 0.3333 0.8316  8 Pr 3.09-3.24
Cu 0.0000 0.0000 0.0000  8 Pr 3.07-3.16
Ag 0.3333 0.6667 0.6707  8 Pr 3.21-3.23
Ag 0.6667 0.3333 0.3293  8 Pr 3.21-3.23

Summary:
The polymorph energy (0 for the lowest one) comes out at 0.0116 eV/atom. As for the density: 7.29 g cm⁻³. Its space group is No. 164. Its total energy is -52.54 eV/cell. As for the density of states at the Fermi level: 10.9 states/eV/cell. The formation energy is -0.148 eV/atom.

---

Entry 3:
Below is a relaxed Pr8Cu2Ag crystal, with properties calculated at the PBE level.

Unit cell a=5.2781 b=7.0916 c=9.6552 alpha=107.12 beta=105.86 gamma=90.00
Last column: nearest neighbours and their distance in Å.
Sites, in units of the cell vectors:
Pr 0.4075 0.5291 0.8150  1 Ag 3.25, 2 Cu 3.33, 6 Pr 3.56-3.58
Pr 0.6744 0.9957 0.3489  1 Cu 2.83
Pr 0.8031 0.6607 0.6061  1 Cu 2.89
Pr 0.9694 0.2223 0.9387  1 Cu 2.86
Pr 0.1969 0.3393 0.3939  1 Cu 2.89
Pr 0.3256 0.0043 0.6511  1 Cu 2.83
Pr 0.5925 0.4709 0.1850  1 Ag 3.25, 2 Cu 3.33, 6 Pr 3.56-3.58
Pr 0.0306 0.7777 0.0613  1 Cu 2.86
Cu 0.8219 0.2705 0.6438  3 Pr 2.83-2.89
Cu 0.1781 0.7295 0.3562  3 Pr 2.83-2.89
Ag 0.5000 0.0000 0.0000  8 Pr 3.21-3.25

Summary:
The polymorph energy (0 for the lowest one) comes out at 0.0000 eV/atom. As for the density: 6.83 g cm⁻³. Its space group is No. 12. Its total energy is -50.02 eV/cell. As for the density of states at the Fermi level: 11.4 states/eV/cell. The formation energy is -0.067 eV/atom.

---

Entry 4:
Below is a relaxed Pr4Cu2Ag crystal, with properties calculated at the PBE level.

Unit cell a=5.0126 b=5.0126 c=9.5576 alpha=74.80 beta=74.80 gamma=60.00
Last column: nearest neighbours and their distance in Å.
Sites, in units of the cell vectors:
Pr 0.7055 0.7055 0.8836  4 Cu 2.96-3.01
Pr 0.8800 0.8800 0.3601  3 Ag 3.16, 3 Cu 3.21
Pr 0.2945 0.2945 0.1164  4 Cu 2.96-3.01
Pr 0.1200 0.1200 0.6399  3 Ag 3.16, 3 Cu 3.21
Cu 0.5970 0.5970 0.2089  1 Ag 2.65, 1 Pr 2.96
Cu 0.4030 0.4030 0.7911  1 Ag 2.65, 1 Pr 2.96
Ag 0.5000 0.5000 0.5000  2 Cu 2.65

Summary:
The polymorph energy (0 for the lowest one) comes out at 0.0355 eV/atom. As for the density: 6.69 g cm⁻³. Its space group is No. 166. Its total energy is -30.17 eV/cell. As for the density of states at the Fermi level: 9.3 states/eV/cell. The formation energy is -0.001 eV/atom.

---

Entry 5:
Below is a relaxed Pr4Cu2Ag5 crystal, with properties calculated at the PBE level.

Unit cell a=4.0325 b=7.5255 c=8.8578 alpha=90.94 beta=90.00 gamma=90.00
Last column: nearest neighbours and their distance in Å.
Sites, in units of the cell vectors:
Pr 0.5000 0.7575 0.6022  4 Cu 3.10-3.15, 6 Ag 3.22-3.33
Pr 0.5000 0.2091 0.8567  2 Cu 3.04, 8 Ag 3.19-3.29
Pr 0.5000 0.2425 0.3978  4 Cu 3.10-3.15, 6 Ag 3.22-3.33
Pr 0.5000 0.7909 0.1433  2 Cu 3.04, 8 Ag 3.19-3.29
Cu 0.0000 0.0704 0.6258  1 Cu 2.45, 2 Ag 2.70-2.71
Cu 0.0000 0.9296 0.3742  1 Cu 2.45, 2 Ag 2.70-2.71
Ag 0.0000 0.5704 0.3466  1 Cu 2.71, 1 Ag 2.93
Ag 0.0000 0.1362 0.1274  1 Cu 2.70, 2 Ag 2.98-3.02
Ag 0.0000 0.5000 0.0000  4 Ag 2.98-3.11, 4 Pr 3.22
Ag 0.0000 0.8638 0.8726  1 Cu 2.70, 2 Ag 2.98-3.02
Ag 0.0000 0.4296 0.6534  1 Cu 2.71, 1 Ag 2.93

Summary:
As for the density: 7.60 g cm⁻³. Its space group is No. 10. Its total energy is -43.75 eV/cell. As for the density of states at the Fermi level: 7.7 states/eV/cell. The formation energy is -0.199 eV/atom.

---

Entry 6:
Below is a relaxed Pr3Cu2Ag crystal, with properties calculated at the PBE level.

Unit cell a=3.6508 b=3.6508 c=11.1844 alpha=90.00 beta=90.00 gamma=90.00
Last column: nearest neighbours and their distance in Å.
Sites, in units of the cell vectors:
Pr 0.0000 0.0000 0.0000  8 Cu 3.16
Pr 0.0000 0.0000 0.6782  4 Cu 3.14, 4 Ag 3.26
Pr 0.0000 0.0000 0.3218  4 Cu 3.14, 4 Ag 3.26
Cu 0.5000 0.5000 0.8374  8 Pr 3.14-3.16
Cu 0.5000 0.5000 0.1626  8 Pr 3.14-3.16
Ag 0.5000 0.5000 0.5000  8 Pr 3.26, 4 Ag 3.65

Summary:
The polymorph energy (0 for the lowest one) comes out at 0.0000 eV/atom. As for the density: 7.33 g cm⁻³. Its space group is No. 123. Its total energy is -26.34 eV/cell. As for the density of states at the Fermi level: 5.7 states/eV/cell. The formation energy is -0.159 eV/atom.

---

Entry 7:
Below is a relaxed PrCuAg crystal, with properties calculated at the PBE level.

Unit cell a=7.5135 b=7.5135 c=4.4988 alpha=84.07 beta=84.07 gamma=144.18
Last column: nearest neighbours and their distance in Å.
Sites, in units of the cell vectors:
Pr 0.3653 0.6347 0.0000  4 Cu 2.91-3.05, 2 Ag 3.08
Pr 0.6347 0.3653 0.0000  4 Cu 2.91-3.05, 2 Ag 3.08
Cu 0.7785 0.2215 0.5000  2 Cu 2.45
Cu 0.2215 0.7785 0.5000  2 Cu 2.45
Ag 0.1800 0.1800 0.6767  3 Ag 2.66-2.85
Ag 0.8200 0.8200 0.3233  3 Ag 2.66-2.85

Summary:
The polymorph energy (0 for the lowest one) comes out at 0.1386 eV/atom. As for the density: 7.41 g cm⁻³. Its space group is No. 12. Its total energy is -23.98 eV/cell. As for the density of states at the Fermi level: 4.0 states/eV/cell. The formation energy is -0.087 eV/atom.

---

Entry 8:
Below is a relaxed Pr2CuAg crystal, with properties calculated at the PBE level.

Unit cell a=5.2508 b=5.2508 c=5.2508 alpha=60.00 beta=60.00 gamma=60.00
Last column: nearest neighbours and their distance in Å.
Sites, in units of the cell vectors:
Pr 0.2500 0.2500 0.2500  4 Cu 3.22, 4 Ag 3.22
Pr 0.7500 0.7500 0.7500  4 Cu 3.22, 4 Ag 3.22
Cu 0.0000 0.0000 0.0000  8 Pr 3.22
Ag 0.5000 0.5000 0.5000  8 Pr 3.22

Summary:
The polymorph energy (0 for the lowest one) comes out at 0.0213 eV/atom. As for the density: 7.35 g cm⁻³. Its space group is No. 225. Its total energy is -17.15 eV/cell. As for the density of states at the Fermi level: 3.9 states/eV/cell. The formation energy is -0.161 eV/atom.

---

> Among the records above, which one has the highest formation energy?

Pr4Cu2Ag

---

> The highest formation energy belongs to which entry?

Pr4Cu2Ag

---

> Which of these has the lowest formation energy?

Pr4Cu2Ag5